Computed, not measured: a relaxed ZnGaCoAu crystal at the PBE level of DFT.

abc: 4.3340 4.3340 4.3340
angles: 60.00 60.00 60.00
With the nearest neighbours (Å) after each atom.
Sites, in units of the cell vectors:
Zn1 0.7500 0.7500 0.7500  4 Co 2.65, 4 Au 2.65
Ga1 0.2500 0.2500 0.2500  4 Co 2.65, 4 Au 2.65
Co1 0.0000 0.0000 0.0000  4 Zn 2.65, 4 Ga 2.65
Au1 0.5000 0.5000 0.5000  4 Zn 2.65, 4 Ga 2.65

Values from the calculation:
The symmetry is F-43m (216). Its total magnetization is 1.08 μB/f.u. The calculation puts the formation energy at -0.0464 eV per atom.